Material: FeAs2IrF
Method: DFT, PBE with a Hubbard U
State: relaxed

Values from the calculation:
* total DFT energy (no corrections): -20.94 eV per cell
* space group: No. 123

Structure (POSCAR):
```
FeAs2IrF
1.0
-4.037 -0.469 -2.038
2.188 -1.567 -3.973
-0.277 -4.272 1.532
Fe F As Ir
1 1 2 1
Cartesian
0.000 0.000 0.000
-1.063 -3.154 -2.240
-0.139 -2.136 0.766
-2.019 -0.235 -1.019
1.094 -0.784 -1.987
```